Below is a relaxed structure of Nd7SmMg3, with properties calculated at the PBE level.

The space group is P3m1 (No. 156) and the conventional cell measures 7.2275, 7.2275 and 8.4088 Å, with angles of 90.00, 90.00 and 120.00 degrees. Symmetry generates all atoms from Nd at (0.0000, 0.0000, 0.0000), Nd at (0.1643, 0.3287, 0.3499), Nd at (0.5025, 0.0049, 0.9941), Sm at (0.6667, 0.3333, 0.3417) and Mg at (0.3359, 0.1680, 0.6707).

The formation enthalpy at 0 K is 0.109 eV/atom. For the total energy, the calculation gives -3.79 eV per atom.

***

Below is a relaxed structure of La2ZnRe, with properties calculated at the PBE level.

The space group is I-4m2 (No. 119) and the conventional cell measures 4.5094, 4.5094 and 8.9918 Å, with angles of 90.00, 90.00 and 90.00 degrees. Symmetry generates all atoms from La at (0.0000, 0.0000, 0.0000), La at (0.0000, 0.5000, 0.2500), Zn at (0.0000, 0.0000, 0.5000) and Re at (0.0000, 0.5000, 0.7500).

The formation enthalpy at 0 K is 0.290 eV/atom. For the total energy, the calculation gives -5.60 eV per atom.

***

Below is a relaxed structure of KCd2P, with properties calculated at the PBE level.

The space group is Pm (No. 6) and the conventional cell measures 3.2935, 4.3453 and 7.5074 Å, with angles of 90.00, 102.47 and 90.00 degrees. Symmetry generates all atoms from K at (0.0000, 0.0000, 0.0000), Cd at (0.3199, 0.5000, 0.6410), Cd at (0.7299, 0.0000, 0.4571) and P at (0.6279, 0.5000, 0.2608).

The formation enthalpy at 0 K is -0.006 eV/atom. For the total energy, the calculation gives -2.09 eV per atom.

***

Below is a relaxed structure of Tm4Pd7Au, with properties calculated at the PBE level.

The space group is C2/m (No. 12) and the conventional cell measures 10.5756, 5.1796 and 10.2416 Å, with angles of 90.00, 118.87 and 90.00 degrees. Symmetry generates all atoms from Tm at (0.0971, 0.0000, 0.2909), Tm at (0.2064, 0.5000, 0.1327), Pd at (0.0000, 0.0000, 0.5000), Pd at (0.0762, 0.5000, 0.8119), Pd at (0.1307, 0.0000, 0.0150), Pd at (0.2081, 0.5000, 0.4050) and Au at (0.0000, 0.5000, 0.5000).

The calculation puts the energy above the lowest structure with this stoichiometry at 0.176 eV per atom. The formation enthalpy at 0 K is -0.645 eV/atom. For the total energy, the calculation gives -5.44 eV per atom.

***

Below is a relaxed structure of BeHgSCl2, with properties calculated at the PBE level.

The space group is P4/mmm (No. 123) and the conventional cell measures 4.1684, 4.1684 and 5.9085 Å, with angles of 90.00, 90.00 and 90.00 degrees. Symmetry generates all atoms from Be at (0.0000, 0.0000, 0.0000), Hg at (0.5000, 0.5000, 0.5000), S at (0.0000, 0.0000, 0.5000) and Cl at (0.0000, 0.5000, 0.0000).

The calculation puts the energy above the lowest structure with this stoichiometry at 0.000 eV per atom. For the total energy, the calculation gives -2.66 eV per atom.

***

Below is a relaxed structure of Cd3Ni5Cl12, with properties calculated at the PBE level.

The space group is Ia-3d (No. 230) and the conventional cell measures 15.1069, 15.1069 and 15.1069 Å, with angles of 90.00, 90.00 and 90.00 degrees. Symmetry generates all atoms from Cd at (0.0000, 0.2500, 0.1250), Ni at (0.0000, 0.0000, 0.0000), Ni at (0.0000, 0.2500, 0.3750) and Cl at (0.0239, 0.0476, 0.6524).

For the total energy, the calculation gives -3.22 eV per atom.

***

Below is a relaxed structure of Ho2LuPb, with properties calculated at the PBE level.

The space group is R-3m (No. 166, hexagonal axes) and the conventional cell measures 3.5032, 3.5032 and 35.6745 Å, with angles of 90.00, 90.00 and 120.00 degrees. Symmetry generates all atoms from Ho at (0.0000, 0.0000, 0.0889), Lu at (0.0000, 0.0000, 0.5000) and Pb at (0.0000, 0.0000, 0.0000).

The calculation puts the energy above the lowest structure with this stoichiometry at 0.296 eV per atom. The formation enthalpy at 0 K is 0.047 eV/atom. For the total energy, the calculation gives -4.30 eV per atom.

***

Below is a relaxed structure of Tl2Bi2Pd2Pb, with properties calculated at the PBE level.

The space group is I4/mmm (No. 139) and the conventional cell measures 5.2094, 5.2094 and 16.3622 Å, with angles of 90.00, 90.00 and 90.00 degrees. Symmetry generates all atoms from Tl at (0.0000, 0.0000, 0.1961), Bi at (0.0000, 0.0000, 0.4025), Pd at (0.0000, 0.5000, 0.0000) and Pb at (0.0000, 0.0000, 0.0000).

The formation enthalpy at 0 K is 0.084 eV/atom. For the total energy, the calculation gives -3.71 eV per atom.